[1]
Computed, not measured: an optimized crystal structure of Li5Nb7S14 at the PBE-GGA level of DFT.

The structure in POSCAR format:
```
Li5Nb7S14
1.0
-4.5922 3.4115 1.2160
-8.8624 -4.3741 -7.1071
-6.7861 -7.3206 8.9668
Li Nb S
10 14 28
Cartesian
-7.7037 -1.3867 -4.0940 Li
-4.4312 -2.1870 -3.5536 Li
-9.4280 -5.4243 0.6892 Li
-9.5450 -3.0984 -6.2622 Li
-5.7509 0.4241 -1.7972 Li
-10.8127 -2.8589 2.3865 Li
-10.6957 -5.1849 9.3379 Li
-8.9630 -1.1535 4.5516 Li
-11.2777 -7.1297 -1.4759 Li
-5.6891 -1.9546 5.0914 Li
-10.3383 -7.4663 3.0573 Nb
-8.5606 -3.3823 -1.6869 Nb
-8.4535 -5.7312 5.2523 Nb
-11.6801 -4.9009 4.7626 Nb
-9.9024 -0.8170 0.0183 Nb
-15.4466 -8.3577 0.3447 Nb
-3.4497 -2.4866 1.0093 Nb
-9.8047 -3.1601 6.9544 Nb
-10.4360 -5.1231 -3.8787 Nb
-6.6794 -1.6483 0.5310 Nb
-16.7909 -5.7966 2.0664 Nb
-4.7941 0.0744 2.7310 Nb
-11.7872 -2.5521 -2.1766 Nb
-13.5613 -6.6349 2.5447 Nb
-13.8220 -6.1905 5.0072 S
-10.5778 -7.0181 5.5077 S
-9.7227 -5.0469 3.2155 S
-10.5180 -3.2363 -0.1398 S
-9.6628 -1.2651 -2.4320 S
-8.7093 -5.2817 7.6933 S
-7.7726 0.4789 -0.2124 S
-12.9664 -4.2194 2.7231 S
-8.6357 -1.5058 2.0608 S
-7.8519 -3.3124 5.4005 S
-15.7043 -7.9140 2.7912 S
-11.9443 -4.4320 7.2102 S
-14.8301 -5.9375 0.5149 S
-6.4187 -2.0928 -1.9315 S
-6.7689 0.2294 4.2813 S
-5.9089 2.1973 1.9960 S
-7.2743 -4.0638 0.3526 S
-11.0962 -2.4730 4.9192 S
-14.3318 -10.4805 1.0797 S
-13.4718 -8.5127 -1.2056 S
-4.5364 -0.3693 0.2845 S
-5.4106 -2.3457 2.5608 S
-9.1445 -5.8102 -1.8435 S
-12.4681 -8.7622 3.2881 S
-11.6050 -6.7774 1.0149 S
-12.3887 -4.9708 -2.3248 S
-11.5314 -3.0015 -4.6176 S
-8.2964 -3.8512 -4.1345 S
```

The density is 4.20 g cm⁻³. The value obtained for the total energy is -6.5832 eV/atom. The crystal system is monoclinic.

[2]
Computed, not measured: an optimized crystal structure of PBr8 at the PBE-GGA level of DFT.

The structure in POSCAR format:
```
PBr8
1.0
-3.1157 -6.8381 -0.7968
3.5329 0.2500 6.6751
-5.3500 5.3284 -0.2941
P Br
1 8
Cartesian
0.0000 0.0000 0.0000 P
-3.4450 1.3631 1.7723 Br
-1.4878 -2.6228 3.8119 Br
-5.9738 -1.0653 -0.7699 Br
1.3055 -2.1247 4.1719 Br
-0.5349 1.6420 1.8783 Br
-0.8882 -4.4634 1.7064 Br
-2.4919 -0.4444 -0.3211 Br
-1.2822 3.9364 4.5027 Br
```

The density is 3.35 g cm⁻³. The value obtained for the total energy is -1.8726 eV/atom. The crystal system is tetragonal.

[3]
Computed, not measured: an optimized crystal structure of PrHoTh2As4 at the PBE-GGA level of DFT.

The structure in POSCAR format:
```
PrHoTh2As4
1.0
4.2402 0.0000 0.0000
0.0000 7.3017 -0.1257
0.0000 2.5877 6.8739
Pr Ho Th As
1 1 2 4
Cartesian
2.1202 6.2385 6.8110 Pr
0.0000 4.9447 3.3741 Ho
0.0000 2.5877 6.8739 Th
2.1201 1.2938 3.4369 Th
0.0001 7.4062 5.0225 As
4.2402 2.4832 1.7257 As
2.1202 6.1122 1.6713 As
2.1202 3.7772 5.0770 As
```

The formation energy from the elements comes out at -1457 meV per atom. The density is 8.29 g cm⁻³. The value obtained for the total energy is -6.8060 eV/atom. The crystal system is monoclinic.

[4]
Computed, not measured: an optimized crystal structure of SmTlAgPt at the PBE-GGA level of DFT.

The structure in POSCAR format:
```
SmTlAgPt
1.0
-4.2940 -0.6889 -2.4228
-0.0462 -2.4406 -4.3387
-2.0005 -4.5503 -0.2751
Ag Tl Sm Pt
1 1 1 1
Cartesian
-1.5852 -1.9200 -1.7591 Ag
-3.1704 -3.8399 -3.5182 Tl
0.0000 0.0000 0.0000 Sm
-4.7555 -5.7599 -5.2774 Pt
```

The formation energy from the elements comes out at -462 meV per atom. The density is 12.52 g cm⁻³. The value obtained for the total energy is -4.4563 eV/atom. The crystal system is cubic.

| no. | density of states at the Fermi level (states/eV/atom) | V (Å³/cell) | spin magnetization (μB/atom) |
| --- | --- | --- | --- |
| 1 | 0.3431 | 897.47 | 0.000 |
| 2 | 0.9075 | 332.08 | 0.078 |
| 3 | 0.5123 | 214.20 | 0.000 |
| 4 | 0.5786 | 87.24 | 0.000 |